The following is a DFT calculation (PBE-GGA) of crystalline PmZn8Ru2 at its relaxed geometry.

Cell lengths 7.721, 7.721, 4.637 Å; angles 107.41, 107.41, 124.92 degrees
Fractional coordinates of all 11 atoms:
Pm  0.000  0.000  0.000
Zn  0.100  0.374  0.737
Zn  0.211  0.789  0.000
Zn  0.374  0.100  0.737
Zn  0.500  0.500  0.250
Zn  0.500  0.500  0.750
Zn  0.626  0.900  0.263
Zn  0.789  0.211  0.000
Zn  0.900  0.626  0.263
Ru  0.317  0.683  0.500
Ru  0.683  0.317  0.500

Computed properties:
* space group: C2/m (12)
* DFT formation energy: -0.112 eV per atom

=====

The following is a DFT calculation (PBE-GGA) of crystalline BeVHRu2 at its relaxed geometry.

Cell lengths 4.389, 4.389, 4.296 Å; angles 90.00, 90.00, 90.00 degrees
Fractional coordinates of all 5 atoms:
Be  0.000  0.000  0.000
V  0.000  0.000  0.500
H  0.500  0.500  0.000
Ru  0.000  0.500  0.500
Ru  0.500  0.000  0.500

Computed properties:
* E: -25.89 eV/cell
* space group: P4/mmm (123)

=====

The following is a DFT calculation (PBE-GGA) of crystalline Pm2Zn15Co2 at its relaxed geometry.

Cell lengths 6.766, 6.766, 6.766 Å; angles 82.68, 82.68, 82.68 degrees
Fractional coordinates of all 19 atoms:
Pm  0.165  0.165  0.165
Pm  0.835  0.835  0.835
Zn  0.000  0.500  0.500
Zn  0.152  0.152  0.650
Zn  0.152  0.650  0.152
Zn  0.217  0.500  0.783
Zn  0.217  0.783  0.500
Zn  0.350  0.848  0.848
Zn  0.500  0.000  0.500
Zn  0.500  0.217  0.783
Zn  0.500  0.500  0.000
Zn  0.500  0.783  0.217
Zn  0.650  0.152  0.152
Zn  0.783  0.217  0.500
Zn  0.783  0.500  0.217
Zn  0.848  0.350  0.848
Zn  0.848  0.848  0.350
Co  0.408  0.408  0.408
Co  0.592  0.592  0.592

Computed properties:
* space group: R-3m (166)
* DFT formation energy: -0.193 eV per atom

=====

The following is a DFT calculation (PBE-GGA) of crystalline Li2Cd2TcO6 at its relaxed geometry.

Cell lengths 5.689, 5.689, 5.223 Å; angles 97.25, 97.25, 119.16 degrees
Fractional coordinates of all 11 atoms:
Li  0.132  0.868  0.000
Li  0.868  0.132  0.000
Cd  0.339  0.661  0.500
Cd  0.661  0.339  0.500
Tc  0.000  0.000  0.500
O  0.044  0.330  0.715
O  0.217  0.217  0.268
O  0.330  0.044  0.715
O  0.670  0.956  0.285
O  0.783  0.783  0.732
O  0.956  0.670  0.285

Computed properties:
* space group: C2/m (12)
* uncorrected formation energy: -1.311 eV/atom

=====

The following is a DFT calculation (PBE-GGA) of crystalline LiAl6Pd at its relaxed geometry.

Cell lengths 4.038, 4.038, 9.262 Å; angles 90.00, 90.00, 90.00 degrees
Fractional coordinates of all 8 atoms:
Li  0.000  0.000  0.000
Al  0.000  0.500  0.330
Al  0.000  0.500  0.670
Al  0.500  0.000  0.330
Al  0.500  0.000  0.670
Al  0.500  0.500  0.139
Al  0.500  0.500  0.861
Pd  0.000  0.000  0.500

Computed properties:
* E above lowest polymorph: 0 meV/atom
* space group: P4/mmm (123)
* DFT formation energy: -0.217 eV per atom

=====

The following is a DFT calculation (PBE-GGA) of crystalline ReTeMo2 at its relaxed geometry.

Cell lengths 5.051, 5.051, 4.650 Å; angles 101.68, 101.68, 36.16 degrees
Fractional coordinates of all 4 atoms:
Re  0.000  0.000  0.000
Te  0.500  0.500  0.500
Mo  0.257  0.257  0.781
Mo  0.743  0.743  0.219

Computed properties:
* space group: C2/m (12)
* uncorrected formation energy: 0.473 eV/atom

=====

The following is a DFT calculation (PBE-GGA) of crystalline ScCdNiOs2 at its relaxed geometry.

Cell lengths 4.545, 4.545, 4.543 Å; angles 90.00, 90.00, 90.00 degrees
Fractional coordinates of all 5 atoms:
Sc  0.000  0.000  0.000
Cd  0.500  0.500  0.000
Ni  0.000  0.000  0.500
Os  0.000  0.500  0.500
Os  0.500  0.000  0.500

Computed properties:
* space group: P4/mmm (123)
* DFT formation energy: 0.921 eV per atom

=====

The following is a DFT calculation (PBE-GGA) of crystalline TmMnCoRh at its relaxed geometry.

Cell lengths 4.464, 4.464, 4.464 Å; angles 60.00, 60.00, 60.00 degrees
Fractional coordinates of all 4 atoms:
Tm  0.000  0.000  0.000
Mn  0.500  0.500  0.500
Co  0.750  0.750  0.750
Rh  0.250  0.250  0.250

Computed properties:
* space group: F-43m (216)
* DFT formation energy: -0.273 eV per atom